[1]
A plane-wave DFT calculation with PBE was carried out for crystalline TiAl2I2 at its relaxed geometry.

As for the crystal system: tetragonal. The energy above the most stable polymorph in this dataset is 0.2601 eV/atom. The value obtained for the density is 4.08 g/cm3. The calculation puts the total magnetization at 4.3 μB/cell. As for the total energy: -3.25 eV per atom.

Cell: 7.592 7.592 5.023 Å, 90.00 90.00 90.00°
Atoms (fractional coordinates):
1 I 0.325 0.825 0.000
2 I 0.825 0.675 0.000
3 I 0.675 0.175 0.000
4 I 0.175 0.325 0.000
5 Al 0.140 0.640 0.500
6 Al 0.640 0.860 0.500
7 Al 0.860 0.360 0.500
8 Al 0.360 0.140 0.500
9 Ti 0.000 0.000 0.000
10 Ti 0.500 0.500 0.000

=====

[2]
A plane-wave DFT calculation with PBE was carried out for crystalline Y2Ho2Sc7 at its relaxed geometry.

As for the crystal system: monoclinic. Its formation enthalpy at 0 K is 5.01 kcal/mol of atoms. The value obtained for the density is 4.48 g/cm3. The calculation puts the total magnetization at 0.0 μB/cell. As for the total energy: -5.82 eV per atom.

Cell: 7.788 6.356 6.356 Å, 88.64 79.74 79.74°
Atoms (fractional coordinates):
1 Y 0.500 0.185 0.815
2 Y 0.500 0.815 0.185
3 Ho 0.848 0.394 0.394
4 Ho 0.152 0.606 0.606
5 Sc 0.181 0.107 0.517
6 Sc 0.819 0.483 0.893
7 Sc 0.819 0.893 0.483
8 Sc 0.181 0.517 0.107
9 Sc 0.000 0.000 0.000
10 Sc 0.491 0.688 0.688
11 Sc 0.509 0.312 0.312

=====

[3]
A plane-wave DFT calculation with PBE was carried out for crystalline SrCu2SeO at its relaxed geometry.

As for the crystal system: orthorhombic. The value obtained for the density is 6.26 g/cm3. The calculation puts the total magnetization at 0.0 μB/cell. As for the total energy: -4.76 eV per atom.

Cell: 3.785 6.214 7.331 Å, 90.00 90.00 107.73°
Atoms (fractional coordinates):
1 Sr 0.467 0.935 0.750
2 Sr 0.533 0.065 0.250
3 Cu 0.169 0.337 0.944
4 Cu 0.831 0.663 0.056
5 Cu 0.169 0.337 0.556
6 Cu 0.831 0.663 0.444
7 Se 0.737 0.475 0.750
8 Se 0.263 0.525 0.250
9 O 0.000 0.000 0.000
10 O 0.000 0.000 0.500